# MnCr3, optimized geometry, DFT PBEsol
# ρ in g/cm³: 8.0
# E_tot in eV/atom: -10.08
# Crystal system: monoclinic
# Space group: P2/m
# Fermi-level density of states in states/eV per atom: 1.1013
data_MnCr3
_chemical_formula_sum 'Mn1 Cr3'
_cell_length_a 2.431
_cell_length_b 3.943
_cell_length_c 4.627
_cell_angle_alpha 90.00
_cell_angle_beta 100.30
_cell_angle_gamma 90.00
_symmetry_space_group_name_H-M 'P 1'
_symmetry_Int_Tables_number 1
loop_
_symmetry_equiv_pos_as_xyz
'x,y,z'
loop_
_atom_site_label
_atom_site_fract_x
_atom_site_fract_y
_atom_site_fract_z
_atom_site_occupancy
Mn1 0.000 0.000 0.000 1
Cr1 0.259 0.500 0.751 1
Cr2 0.500 0.000 0.500 1
Cr3 0.741 0.500 0.249 1


# MnCr5, optimized geometry, DFT PBEsol
# ρ in g/cm³: 7.9
# E_tot in eV/atom: -10.14
# Crystal system: monoclinic
# Space group: C2/m
# Fermi-level density of states in states/eV per atom: 0.8760
data_MnCr5
_chemical_formula_sum 'Mn1 Cr5'
_cell_length_a 4.645
_cell_length_b 4.645
_cell_length_c 5.603
_cell_angle_alpha 107.61
_cell_angle_beta 107.61
_cell_angle_gamma 35.07
_symmetry_space_group_name_H-M 'P 1'
_symmetry_Int_Tables_number 1
loop_
_symmetry_equiv_pos_as_xyz
'x,y,z'
loop_
_atom_site_label
_atom_site_fract_x
_atom_site_fract_y
_atom_site_fract_z
_atom_site_occupancy
Mn1 0.000 0.000 0.000 1
Cr1 0.000 0.000 0.500 1
Cr2 0.331 0.331 0.166 1
Cr3 0.334 0.334 0.667 1
Cr4 0.666 0.666 0.333 1
Cr5 0.669 0.669 0.834 1


# Mn2Cr, optimized geometry, DFT PBEsol
# ρ in g/cm³: 8.4
# E_tot in eV/atom: -9.82
# Crystal system: monoclinic
# Space group: C2/m
# Fermi-level density of states in states/eV per atom: 1.4548
data_Mn2Cr
_chemical_formula_sum 'Mn4 Cr2'
_cell_length_a 4.562
_cell_length_b 4.562
_cell_length_c 5.613
_cell_angle_alpha 108.21
_cell_angle_beta 108.21
_cell_angle_gamma 35.22
_symmetry_space_group_name_H-M 'P 1'
_symmetry_Int_Tables_number 1
loop_
_symmetry_equiv_pos_as_xyz
'x,y,z'
loop_
_atom_site_label
_atom_site_fract_x
_atom_site_fract_y
_atom_site_fract_z
_atom_site_occupancy
Mn1 0.008 0.008 0.242 1
Mn2 0.338 0.338 0.415 1
Mn3 0.662 0.662 0.585 1
Mn4 0.992 0.992 0.758 1
Cr1 0.328 0.328 0.917 1
Cr2 0.672 0.672 0.083 1


# Mn2Cr, optimized geometry, DFT PBEsol
# ρ in g/cm³: 8.4
# E_tot in eV/atom: -9.83
# Crystal system: trigonal
# Space group: P-3m1
# Fermi-level density of states in states/eV per atom: 1.5501
data_Mn2Cr
_chemical_formula_sum 'Mn2 Cr1'
_cell_length_a 3.904
_cell_length_b 3.904
_cell_length_c 2.416
_cell_angle_alpha 90.00
_cell_angle_beta 90.00
_cell_angle_gamma 120.00
_symmetry_space_group_name_H-M 'P 1'
_symmetry_Int_Tables_number 1
loop_
_symmetry_equiv_pos_as_xyz
'x,y,z'
loop_
_atom_site_label
_atom_site_fract_x
_atom_site_fract_y
_atom_site_fract_z
_atom_site_occupancy
Mn1 0.333 0.667 0.198 1
Mn2 0.667 0.333 0.802 1
Cr1 0.000 0.000 0.500 1


# MnCr2, optimized geometry, DFT PBEsol
# ρ in g/cm³: 8.1
# E_tot in eV/atom: -10.03
# Crystal system: orthorhombic
# Space group: Cmcm
# Fermi-level density of states in states/eV per atom: 1.1616
data_MnCr2
_chemical_formula_sum 'Mn2 Cr4'
_cell_length_a 6.062
_cell_length_b 6.062
_cell_length_c 3.953
_cell_angle_alpha 90.00
_cell_angle_beta 90.00
_cell_angle_gamma 153.36
_symmetry_space_group_name_H-M 'P 1'
_symmetry_Int_Tables_number 1
loop_
_symmetry_equiv_pos_as_xyz
'x,y,z'
loop_
_atom_site_label
_atom_site_fract_x
_atom_site_fract_y
_atom_site_fract_z
_atom_site_occupancy
Mn1 0.081 0.919 0.750 1
Mn2 0.919 0.081 0.250 1
Cr1 0.247 0.753 0.250 1
Cr2 0.415 0.585 0.750 1
Cr3 0.585 0.415 0.250 1
Cr4 0.753 0.247 0.750 1


# MnCr3, optimized geometry, DFT PBEsol
# ρ in g/cm³: 8.0
# E_tot in eV/atom: -10.09
# Crystal system: orthorhombic
# Space group: Immm
# Fermi-level density of states in states/eV per atom: 0.9831
data_MnCr3
_chemical_formula_sum 'Mn1 Cr3'
_cell_length_a 4.631
_cell_length_b 4.631
_cell_length_c 4.631
_cell_angle_alpha 144.88
_cell_angle_beta 129.41
_cell_angle_gamma 63.07
_symmetry_space_group_name_H-M 'P 1'
_symmetry_Int_Tables_number 1
loop_
_symmetry_equiv_pos_as_xyz
'x,y,z'
loop_
_atom_site_label
_atom_site_fract_x
_atom_site_fract_y
_atom_site_fract_z
_atom_site_occupancy
Mn1 0.000 0.000 0.000 1
Cr1 0.254 0.754 0.500 1
Cr2 0.500 0.500 0.000 1
Cr3 0.746 0.246 0.500 1


# MnCr8, optimized geometry, DFT PBEsol
# ρ in g/cm³: 7.9
# E_tot in eV/atom: -10.17
# Crystal system: tetragonal
# Space group: I4/mmm
# Fermi-level density of states in states/eV per atom: 0.7897
data_MnCr8
_chemical_formula_sum 'Mn1 Cr8'
_cell_length_a 6.112
_cell_length_b 6.112
_cell_length_c 6.112
_cell_angle_alpha 93.01
_cell_angle_beta 93.01
_cell_angle_gamma 153.50
_symmetry_space_group_name_H-M 'P 1'
_symmetry_Int_Tables_number 1
loop_
_symmetry_equiv_pos_as_xyz
'x,y,z'
loop_
_atom_site_label
_atom_site_fract_x
_atom_site_fract_y
_atom_site_fract_z
_atom_site_occupancy
Mn1 0.000 0.000 0.000 1
Cr1 0.000 0.332 0.332 1
Cr2 0.000 0.668 0.668 1
Cr3 0.332 0.000 0.332 1
Cr4 0.333 0.333 0.667 1
Cr5 0.333 0.667 0.000 1
Cr6 0.667 0.333 0.000 1
Cr7 0.667 0.667 0.333 1
Cr8 0.668 0.000 0.668 1


# MnCr2, optimized geometry, DFT PBEsol
# ρ in g/cm³: 8.1
# E_tot in eV/atom: -10.03
# Crystal system: trigonal
# Space group: P-3m1
# Fermi-level density of states in states/eV per atom: 1.3068
data_MnCr2
_chemical_formula_sum 'Mn1 Cr2'
_cell_length_a 3.927
_cell_length_b 3.927
_cell_length_c 2.435
_cell_angle_alpha 90.00
_cell_angle_beta 90.00
_cell_angle_gamma 120.00
_symmetry_space_group_name_H-M 'P 1'
_symmetry_Int_Tables_number 1
loop_
_symmetry_equiv_pos_as_xyz
'x,y,z'
loop_
_atom_site_label
_atom_site_fract_x
_atom_site_fract_y
_atom_site_fract_z
_atom_site_occupancy
Mn1 0.000 0.000 0.000 1
Cr1 0.333 0.667 0.659 1
Cr2 0.667 0.333 0.341 1


# MnCrMo2, optimized geometry, DFT PBEsol
# ρ in g/cm³: 9.3
# E_tot in eV/atom: -10.50
# Crystal system: trigonal
# E above lowest polymorph in meV per atom: 246
# Space group: R3m
# Fermi-level density of states in states/eV per atom: 1.2590
data_MnCrMo2
_chemical_formula_sum 'Mn1 Cr1 Mo2'
_cell_length_a 8.818
_cell_length_b 8.818
_cell_length_c 8.818
_cell_angle_alpha 17.39
_cell_angle_beta 17.39
_cell_angle_gamma 17.39
_symmetry_space_group_name_H-M 'P 1'
_symmetry_Int_Tables_number 1
loop_
_symmetry_equiv_pos_as_xyz
'x,y,z'
loop_
_atom_site_label
_atom_site_fract_x
_atom_site_fract_y
_atom_site_fract_z
_atom_site_occupancy
Mn1 0.000 0.000 0.000 1
Cr1 0.734 0.734 0.734 1
Mo1 0.250 0.250 0.250 1
Mo2 0.487 0.487 0.487 1


# Mn4CrMo, optimized geometry, DFT PBEsol
# ρ in g/cm³: 8.9
# E_tot in eV/atom: -10.13
# Crystal system: cubic
# Space group: F-43m
# Fermi-level density of states in states/eV per atom: 1.5200
data_Mn4CrMo
_chemical_formula_sum 'Mn4 Cr1 Mo1'
_cell_length_a 4.594
_cell_length_b 4.594
_cell_length_c 4.594
_cell_angle_alpha 60.00
_cell_angle_beta 60.00
_cell_angle_gamma 60.00
_symmetry_space_group_name_H-M 'P 1'
_symmetry_Int_Tables_number 1
loop_
_symmetry_equiv_pos_as_xyz
'x,y,z'
loop_
_atom_site_label
_atom_site_fract_x
_atom_site_fract_y
_atom_site_fract_z
_atom_site_occupancy
Mn1 0.124 0.124 0.124 1
Mn2 0.124 0.124 0.627 1
Mn3 0.124 0.627 0.124 1
Mn4 0.627 0.124 0.124 1
Cr1 0.750 0.750 0.750 1
Mo1 0.500 0.500 0.500 1


# MnCrMo2, optimized geometry, DFT PBEsol
# ρ in g/cm³: 9.5
# E_tot in eV/atom: -10.74
# Crystal system: orthorhombic
# E above lowest polymorph in meV per atom: 0
# Space group: Imm2
# Fermi-level density of states in states/eV per atom: 1.0042
data_MnCrMo2
_chemical_formula_sum 'Mn1 Cr1 Mo2'
_cell_length_a 4.928
_cell_length_b 4.928
_cell_length_c 4.928
_cell_angle_alpha 144.78
_cell_angle_beta 129.72
_cell_angle_gamma 62.87
_symmetry_space_group_name_H-M 'P 1'
_symmetry_Int_Tables_number 1
loop_
_symmetry_equiv_pos_as_xyz
'x,y,z'
loop_
_atom_site_label
_atom_site_fract_x
_atom_site_fract_y
_atom_site_fract_z
_atom_site_occupancy
Mn1 0.000 0.000 0.000 1
Cr1 0.748 0.248 0.500 1
Mo1 0.252 0.752 0.500 1
Mo2 0.505 0.505 0.000 1


# Mn2CrMo, optimized geometry, DFT PBEsol
# ρ in g/cm³: 8.9
# E_tot in eV/atom: -10.25
# Crystal system: orthorhombic
# Space group: Pmmm
# Fermi-level density of states in states/eV per atom: 1.1582
data_Mn2CrMo
_chemical_formula_sum 'Mn2 Cr1 Mo1'
_cell_length_a 2.939
_cell_length_b 4.015
_cell_length_c 4.100
_cell_angle_alpha 90.00
_cell_angle_beta 90.00
_cell_angle_gamma 90.00
_symmetry_space_group_name_H-M 'P 1'
_symmetry_Int_Tables_number 1
loop_
_symmetry_equiv_pos_as_xyz
'x,y,z'
loop_
_atom_site_label
_atom_site_fract_x
_atom_site_fract_y
_atom_site_fract_z
_atom_site_occupancy
Mn1 0.000 0.000 0.000 1
Mn2 0.500 0.000 0.500 1
Cr1 0.000 0.500 0.500 1
Mo1 0.500 0.500 0.000 1


no.,energy of formation from the pure elements (eV per atom)
1,0.0383
2,0.0240
3,0.0993
4,0.0954
5,0.0469
6,0.0313
7,0.0164
8,0.0566
9,0.3875
10,0.0421
11,0.1418
12,0.1363